No. 1
Computed, not measured: a relaxed structure of Rb2GaSb at the PBE-GGA level of DFT.

DOS at the Fermi energy	2.5	states/eV/f.u.
total DFT energy (no corrections)	-9.7	eV/f.u.
ΔE_f (raw)	-14	kJ per mole of atoms
energy above the most stable polymorph in this dataset	0	meV/atom

Cell and atoms, written as CIF:
```
data_Rb2GaSb
_chemical_formula_sum 'Rb8 Ga4 Sb4'
_symmetry_space_group_name_H-M 'C m c m'
_symmetry_Int_Tables_number 63
_symmetry_space_group_name_Hall '-C 2c 2'
_cell_length_a 11.240
_cell_length_b 9.091
_cell_length_c 6.262
_cell_angle_alpha 90.00
_cell_angle_beta 90.00
_cell_angle_gamma 90.00
loop_
_atom_site_label
_atom_site_type_symbol
_atom_site_fract_x
_atom_site_fract_y
_atom_site_fract_z
Rb1 Rb 0.172 0.151 0.250
Ga1 Ga 0.000 0.500 0.000
Sb1 Sb 0.000 0.220 0.750
```



No. 2
Computed, not measured: a relaxed structure of RbGaSb3 at the PBE-GGA level of DFT.

DOS at the Fermi energy	1.1	states/eV/f.u.
total DFT energy (no corrections)	-17.1	eV/f.u.
ΔE_f (raw)	-15	kJ per mole of atoms
energy above the most stable polymorph in this dataset	0	meV/atom

Cell and atoms, written as CIF:
```
data_RbGaSb3
_chemical_formula_sum 'Rb2 Ga2 Sb6'
_symmetry_space_group_name_H-M 'P m n 21'
_symmetry_Int_Tables_number 31
_cell_length_a 7.099
_cell_length_b 9.122
_cell_length_c 5.683
_cell_angle_alpha 90.00
_cell_angle_beta 90.00
_cell_angle_gamma 90.00
loop_
_symmetry_equiv_pos_as_xyz
'x,y,z'
'-x+1/2,-y,z+1/2'
'-x,y,z'
'x+1/2,-y,z+1/2'
loop_
_atom_site_label
_atom_site_type_symbol
_atom_site_fract_x
_atom_site_fract_y
_atom_site_fract_z
Rb1 Rb 0.000 0.088 0.000
Ga1 Ga 0.000 0.528 0.307
Sb1 Sb 0.000 0.755 0.618
Sb2 Sb 0.247 0.323 0.493
```



no.,total magnetization (μB/f.u.)
1,0.0
2,0.0